Entry 1:
! KTcBr2, optimized geometry, DFT PBE-GGA; values from VASP
&SYSTEM
  ibrav = 0, nat = 4, ntyp = 3
/
ATOMIC_SPECIES
K 39.10 K.upf
Tc 98.00 Tc.upf
Br 79.90 Br.upf
CELL_PARAMETERS angstrom
-1.8619 3.2096 4.9865
1.8619 -3.2096 4.9865
1.8619 3.2096 -4.9865
ATOMIC_POSITIONS angstrom
K 0.0000 0.0000 0.0000
Tc 0.0000 0.0000 4.9865
Br 1.8619 0.0000 3.2422
Br 0.0000 3.2096 1.7443
! * ΔE to the lowest computed polymorph: 43 meV per atom
! * formation energy (no corrections): -0.149 eV per atom
! * symmetry: Immm, No. 71
! * VASP energy: -3.8512 eV/atom
! * calculated density: 4.14 g/cm3

---

Entry 2:
! BeCoCu2, optimized geometry, DFT PBE-GGA; values from VASP
&SYSTEM
  ibrav = 0, nat = 4, ntyp = 3
/
ATOMIC_SPECIES
Be 9.01 Be.upf
Co 58.93 Co.upf
Cu 63.55 Cu.upf
CELL_PARAMETERS angstrom
2.3840 -4.0406 0.0000
2.3840 4.0406 0.0000
-0.9042 0.0000 2.2455
ATOMIC_POSITIONS angstrom
Be 0.0000 0.0000 0.0000
Co 2.3840 0.0000 0.0000
Cu 0.7399 2.0203 1.1228
Cu 0.7399 -2.0203 1.1228
! * symmetry: C2/m, No. 12
! * VASP energy: -4.6727 eV/atom
! * DFT formation energy: 0.083 eV per atom
! * calculated density: 7.49 g/cm3

---

> Which of these has the lowest VASP energy?

BeCoCu2